(1)
VASP calculation (GGA-PBE) on a geometry-optimized Tb4SmTm4 structure.

Cell and atoms, written as CIF:
```
data_Tb4SmTm4
_cell_length_a 6.261
_cell_length_b 17.083
_cell_length_c 10.735
_cell_angle_alpha 90.00
_cell_angle_beta 99.37
_cell_angle_gamma 90.00
_space_group_name_H-M_alt 'C 1 2/m 1'
_space_group_IT_number 12
loop_
_space_group_symop_operation_xyz
'x,y,z'
'-x,-y,-z'
'-x,y,-z'
'x,-y,z'
'x+1/2,y+1/2,z'
'-x+1/2,-y+1/2,-z'
'-x+1/2,y+1/2,-z'
'x+1/2,-y+1/2,z'
loop_
_atom_site_label
_atom_site_type_symbol
_atom_site_fract_x
_atom_site_fract_y
_atom_site_fract_z
Tb1 Tb 0.000 0.143 0.000
Tb2 Tb 0.000 0.315 0.500
Tb3 Tb 0.002 0.142 0.667
Sm1 Sm 0.225 0.500 0.780
Tm1 Tm 0.003 0.315 0.165
Tm2 Tm 0.224 0.500 0.113
Tm3 Tm 0.227 0.500 0.446
```

Results
**VASP energy**: -4.4873 eV per atom
**Density of states at the Fermi level**: 42.9 states/eV per cell
**Total magnetic moment**: 0.00 μB per formula unit
**E above lowest polymorph**: 0.55 eV/f.u.

=====

(2)
VASP calculation (GGA-PBE) on a geometry-optimized Tb2Sm3Tm3 structure.

Cell and atoms, written as CIF:
```
data_Tb2Sm3Tm3
_cell_length_a 5.021
_cell_length_b 5.037
_cell_length_c 20.143
_cell_angle_alpha 90.00
_cell_angle_beta 90.00
_cell_angle_gamma 90.00
_space_group_name_H-M_alt 'I m m m'
_space_group_IT_number 71
_space_group_name_Hall '-I 2 2'
loop_
_atom_site_label
_atom_site_type_symbol
_atom_site_fract_x
_atom_site_fract_y
_atom_site_fract_z
Tb1 Tb 0.000 0.000 0.249
Sm1 Sm 0.000 0.000 0.000
Sm2 Sm 0.000 0.500 0.124
Tm1 Tm 0.000 0.000 0.500
Tm2 Tm 0.000 0.500 0.375
```

Results
**VASP energy**: -4.5829 eV per atom
**Density of states at the Fermi level**: 23.3 states/eV per cell
**Total magnetic moment**: 0.00 μB per formula unit
**E above lowest polymorph**: 0.00 eV/f.u.

=====

(3)
VASP calculation (GGA-PBE) on a geometry-optimized Tb7Sm2Tm2 structure.

Cell and atoms, written as CIF:
```
data_Tb7Sm2Tm2
_cell_length_a 5.551
_cell_length_b 15.872
_cell_length_c 8.111
_cell_angle_alpha 90.00
_cell_angle_beta 90.00
_cell_angle_gamma 90.00
_space_group_name_H-M_alt 'I m m 2'
_space_group_IT_number 44
loop_
_space_group_symop_operation_xyz
'x,y,z'
'-x,-y,z'
'-x,y,z'
'x,-y,z'
'x+1/2,y+1/2,z+1/2'
'-x+1/2,-y+1/2,z+1/2'
'-x+1/2,y+1/2,z+1/2'
'x+1/2,-y+1/2,z+1/2'
loop_
_atom_site_label
_atom_site_type_symbol
_atom_site_fract_x
_atom_site_fract_y
_atom_site_fract_z
Tb1 Tb 0.000 0.000 0.000
Tb2 Tb 0.000 0.161 0.295
Tb3 Tb 0.000 0.364 0.503
Tb4 Tb 0.000 0.366 0.089
Sm1 Sm 0.000 0.202 0.797
Tm1 Tm 0.000 0.000 0.582
Tm2 Tm 0.000 0.500 0.795
```

Results
**VASP energy**: -4.5017 eV per atom
**Density of states at the Fermi level**: 33.7 states/eV per cell
**Total magnetic moment**: 0.00 μB per formula unit
**E above lowest polymorph**: 0.00 eV/f.u.

=====

(4)
VASP calculation (GGA-PBE) on a geometry-optimized Tb5Sm6Tm structure.

Cell and atoms, written as CIF:
```
data_Tb5Sm6Tm
_cell_length_a 5.075
_cell_length_b 10.131
_cell_length_c 15.228
_cell_angle_alpha 90.00
_cell_angle_beta 90.00
_cell_angle_gamma 90.00
_space_group_name_H-M_alt 'I m m m'
_space_group_IT_number 71
_space_group_name_Hall '-I 2 2'
loop_
_atom_site_label
_atom_site_type_symbol
_atom_site_fract_x
_atom_site_fract_y
_atom_site_fract_z
Tb1 Tb 0.000 0.000 0.000
Tb2 Tb 0.000 0.000 0.334
Tb3 Tb 0.000 0.500 0.333
Sm1 Sm 0.000 0.249 0.500
Sm2 Sm 0.000 0.251 0.166
Tm1 Tm 0.000 0.500 0.000
```

Results
**VASP energy**: -4.6449 eV per atom
**Density of states at the Fermi level**: 33.3 states/eV per cell
**Total magnetic moment**: 0.00 μB per formula unit
**E above lowest polymorph**: 0.04 eV/f.u.

=====

(5)
VASP calculation (GGA-PBE) on a geometry-optimized Tb5SmTm5 structure.

Cell and atoms, written as CIF:
```
data_Tb5SmTm5
_cell_length_a 6.809
_cell_length_b 6.932
_cell_length_c 8.268
_cell_angle_alpha 76.27
_cell_angle_beta 76.77
_cell_angle_gamma 72.53
_space_group_name_H-M_alt 'P -1'
_space_group_IT_number 2
loop_
_space_group_symop_operation_xyz
'x,y,z'
'-x,-y,-z'
loop_
_atom_site_label
_atom_site_type_symbol
_atom_site_fract_x
_atom_site_fract_y
_atom_site_fract_z
Tb1 Tb 0.000 0.000 0.000
Tb2 Tb 0.156 0.132 0.358
Tb3 Tb 0.320 0.269 0.656
Sm1 Sm 0.000 0.500 0.000
Tm1 Tm 0.214 0.639 0.314
Tm2 Tm 0.354 0.753 0.715
Tm3 Tm 0.500 0.000 0.000
```

Results
**VASP energy**: -4.4196 eV per atom
**Density of states at the Fermi level**: 16.0 states/eV per cell
**Total magnetic moment**: 0.00 μB per formula unit
**E above lowest polymorph**: 0.00 eV/f.u.

=====

(6)
VASP calculation (GGA-PBE) on a geometry-optimized Tb6SmTm structure.

Cell and atoms, written as CIF:
```
data_Tb6SmTm
_cell_length_a 9.929
_cell_length_b 6.856
_cell_length_c 8.498
_cell_angle_alpha 90.00
_cell_angle_beta 103.92
_cell_angle_gamma 90.00
_space_group_name_H-M_alt 'C 1 2/m 1'
_space_group_IT_number 12
loop_
_space_group_symop_operation_xyz
'x,y,z'
'-x,-y,-z'
'-x,y,-z'
'x,-y,z'
'x+1/2,y+1/2,z'
'-x+1/2,-y+1/2,-z'
'-x+1/2,y+1/2,-z'
'x+1/2,-y+1/2,z'
loop_
_atom_site_label
_atom_site_type_symbol
_atom_site_fract_x
_atom_site_fract_y
_atom_site_fract_z
Tb1 Tb 0.129 0.000 0.426
Tb2 Tb 0.195 0.238 0.802
Sm1 Sm 0.000 0.500 0.500
Tm1 Tm 0.000 0.500 0.000
```

Results
**VASP energy**: -4.2517 eV per atom
**Density of states at the Fermi level**: 22.3 states/eV per cell
**Total magnetic moment**: 0.00 μB per formula unit
**E above lowest polymorph**: 2.79 eV/f.u.